Here is Ho2MgIn4 after structural relaxation from the Alexandria database. Energies are from PBE.

Lattice parameters (Å, degrees): 6.417 6.417 4.509 90.00 90.00 93.17
Fractional coordinates of all 7 atoms:
Ho1 0.228 0.228 0.000
Ho2 0.772 0.772 0.000
Mg1 0.500 0.500 0.500
In1 0.000 0.500 0.500
In2 0.260 0.740 0.000
In3 0.500 0.000 0.500
In4 0.740 0.260 0.000

Computed properties:
V in Å³/f.u.: 185
Magnetic moment in μB per atom: 0.000
D(E_F) in states/eV/f.u.: 3.7
SG: Cmmm
ΔE_f in eV per atom: -0.28
Calculated total energy in eV/atom: -3.38

=====

Here is Ho8MgIn2 after structural relaxation from the Alexandria database. Energies are from PBE.

Lattice parameters (Å, degrees): 8.516 8.516 8.502 119.03 119.03 36.51
Fractional coordinates of all 11 atoms:
Ho1 0.064 0.064 0.221
Ho2 0.136 0.136 0.682
Ho3 0.319 0.319 0.558
Ho4 0.408 0.408 0.049
Ho5 0.592 0.592 0.951
Ho6 0.681 0.681 0.442
Ho7 0.864 0.864 0.318
Ho8 0.936 0.936 0.779
Mg1 0.500 0.500 0.500
In1 0.228 0.228 0.127
In2 0.772 0.772 0.873

Computed properties:
V in Å³/f.u.: 315
Magnetic moment in μB per atom: 0.000
D(E_F) in states/eV/f.u.: 10.7
SG: C2/m
ΔE_f in eV per atom: -0.18
Calculated total energy in eV/atom: -4.15

=====

Here is Ho5MgIn4 after structural relaxation from the Alexandria database. Energies are from PBE.

Lattice parameters (Å, degrees): 3.749 3.749 18.709 90.00 90.00 90.00
Fractional coordinates of all 10 atoms:
Ho1 0.000 0.000 0.000
Ho2 0.000 0.000 0.201
Ho3 0.000 0.000 0.402
Ho4 0.000 0.000 0.598
Ho5 0.000 0.000 0.799
Mg1 0.500 0.500 0.500
In1 0.500 0.500 0.100
In2 0.500 0.500 0.304
In3 0.500 0.500 0.696
In4 0.500 0.500 0.900

Computed properties:
V in Å³/f.u.: 263
Magnetic moment in μB per atom: 0.000
D(E_F) in states/eV/f.u.: 7.0
SG: P4/mmm
ΔE_f in eV per atom: -0.39
Calculated total energy in eV/atom: -3.93

=====

Here is Ho2Mg3In after structural relaxation from the Alexandria database. Energies are from PBE.

Lattice parameters (Å, degrees): 10.165 9.429 6.140 78.40 65.32 36.28
Fractional coordinates of all 12 atoms:
Ho1 0.248 0.752 0.752
Ho2 0.250 0.250 0.250
Ho3 0.750 0.750 0.750
Ho4 0.752 0.248 0.248
Mg1 0.166 0.668 0.332
Mg2 0.332 0.834 0.166
Mg3 0.333 0.333 0.667
Mg4 0.667 0.667 0.333
Mg5 0.668 0.166 0.834
Mg6 0.834 0.332 0.668
In1 0.166 0.166 0.834
In2 0.834 0.834 0.166

Computed properties:
V in Å³/f.u.: 153
Magnetic moment in μB per atom: 0.000
D(E_F) in states/eV/f.u.: 4.5
SG: Fmmm
ΔE_f in eV per atom: -0.20
Calculated total energy in eV/atom: -2.98

=====

Here is Ho2MgIn after structural relaxation from the Alexandria database. Energies are from PBE.

Lattice parameters (Å, degrees): 10.857 10.857 10.857 18.52 18.52 18.52
Fractional coordinates of all 4 atoms:
Ho1 0.000 0.000 0.000
Ho2 0.173 0.173 0.173
Mg1 0.753 0.753 0.753
In1 0.587 0.587 0.587

Computed properties:
V in Å³/f.u.: 113
Magnetic moment in μB per atom: 0.000
D(E_F) in states/eV/f.u.: 4.5
SG: R3m
ΔE_f in eV per atom: -0.10
Distance to the lowest polymorph of the same formula in eV/f.u.: 0.85
Calculated total energy in eV/atom: -3.47

=====

Here is Ho2MgIn after structural relaxation from the Alexandria database. Energies are from PBE.

Lattice parameters (Å, degrees): 5.289 5.289 5.289 60.00 60.00 60.00
Fractional coordinates of all 4 atoms:
Ho1 0.250 0.250 0.250
Ho2 0.750 0.750 0.750
Mg1 0.000 0.000 0.000
In1 0.500 0.500 0.500

Computed properties:
V in Å³/f.u.: 105
Magnetic moment in μB per atom: 0.000
D(E_F) in states/eV/f.u.: 2.7
SG: Fm-3m
ΔE_f in eV per atom: -0.31
Distance to the lowest polymorph of the same formula in eV/f.u.: 0.00
Calculated total energy in eV/atom: -3.68